CdSn3Pb4 | GGA-PBE | optimized geometry

CIF file:
```
data_CdSn3Pb4
_space_group_name_H-M_alt 'P 1'
_space_group_IT_number 1
_cell_length_a 6.973
_cell_length_b 6.925
_cell_length_c 9.740
_cell_angle_alpha 90.00
_cell_angle_beta 90.00
_cell_angle_gamma 90.00
loop_
_space_group_symop_operation_xyz
'x,y,z'
loop_
_atom_site_label
_atom_site_fract_x
_atom_site_fract_y
_atom_site_fract_z
_atom_site_occupancy
Cd1 0.000 0.003 0.000 1
Cd2 0.500 0.997 0.500 1
Sn1 0.000 0.493 0.999 1
Sn2 0.244 0.753 0.248 1
Sn3 0.256 0.247 0.748 1
Sn4 0.500 0.507 0.499 1
Sn5 0.744 0.247 0.748 1
Sn6 0.756 0.753 0.248 1
Pb1 0.000 0.000 0.501 1
Pb2 0.000 0.499 0.502 1
Pb3 0.249 0.753 0.752 1
Pb4 0.251 0.247 0.252 1
Pb5 0.500 0.000 0.001 1
Pb6 0.500 0.501 0.002 1
Pb7 0.749 0.247 0.252 1
Pb8 0.751 0.753 0.752 1
```

ΔH_f (0 K) ... 0.0410 eV per atom
D(E_F) ... 2.500 states/eV/f.u.
Space group ... Pmn2_1, No. 31
Crystal system ... orthorhombic